# 1
LaVOs | PBE | relaxed

Cell lengths 4.7285, 6.6372, 6.6372 Å; angles 119.86, 90.00, 90.00 degrees
Fractional positions:
1 La 0.0000 0.0000 0.0000
2 La 0.0000 0.4284 0.8567
3 La 0.0000 0.8567 0.4284
4 V 0.5000 0.2023 0.4280
5 V 0.5000 0.4280 0.2023
6 V 0.5000 0.6548 0.6548
7 Os 0.0000 0.4284 0.4284
8 Os 0.5000 0.0949 0.7619
9 Os 0.5000 0.7619 0.0949

Results
Space-group type   Amm2 (38)
Energy relative to the elements   0.110 eV per atom
DOS(E_F)   4.024 states/eV/f.u.


# 2
Co2MoHRh | PBE | relaxed

Cell lengths 3.7097, 3.7097, 3.8505 Å; angles 90.00, 90.00, 90.00 degrees
Fractional positions:
1 Co 0.0000 0.5000 0.0000
2 Co 0.5000 0.0000 0.0000
3 Mo 0.0000 0.0000 0.5000
4 H 0.0000 0.0000 0.0000
5 Rh 0.5000 0.5000 0.5000

Results
Space-group type   P4/mmm (123)
DOS(E_F)   4.024 states/eV/f.u.
Excess energy over the best structure of this formula in the dataset   0.033 eV/f.u.